{
  "formula": "Co3Ni2Pt2",
  "functional": "PBE",
  "state": "optimized geometry",
  "lattice_angstrom": [[4.1054, -1.8273, 0.0000], [4.1054, 1.8273, 0.0000], [-0.8120, 0.0000, 5.8083]],
  "species": ["Co", "Co", "Co", "Ni", "Ni", "Pt", "Pt"],
  "fractional_positions": [[0.0000, 0.0000, 0.0000], [0.2847, 0.2847, 0.8609], [0.7153, 0.7153, 0.1391], [0.1467, 0.1467, 0.4256], [0.8533, 0.8533, 0.5744], [0.4281, 0.4281, 0.2778], [0.5719, 0.5719, 0.7222]],
  "ef_mev_per_atom": -80,
  "magmom_total_mub_per_fu": 7.40
}